Below is crystalline Li2CuF at its relaxed geometry, with properties calculated at the PBE level.

Properties
total magnetic moment = 0.00 μB/f.u.
raw formation energy = -4.8 eV per formula unit
ΔE to the lowest computed polymorph = 0 meV/atom

Cell: 5.356 5.356 5.356 Å, 116.17 116.17 96.78°
Atoms (fractional coordinates):
Li1 0.014 0.125 0.389
Li2 0.375 0.986 0.111
Li3 0.736 0.625 0.611
Li4 0.875 0.264 0.889
Cu1 0.250 0.750 0.500
Cu2 0.500 0.500 0.000
F1 0.000 0.000 0.000
F2 0.750 0.250 0.500

=====

Below is crystalline LiCu2F5 at its relaxed geometry, with properties calculated at the PBE level.

Properties
total magnetic moment = 1.95 μB/f.u.
raw formation energy = -14.3 eV per formula unit
ΔE to the lowest computed polymorph = 62 meV/atom

Cell: 12.961 10.197 3.150 Å, 90.00 90.00 90.00°
Atoms (fractional coordinates):
Li1 0.240 0.250 0.097
Li2 0.260 0.750 0.597
Li3 0.740 0.250 0.403
Li4 0.760 0.750 0.903
Cu1 0.079 0.089 0.669
Cu2 0.079 0.411 0.669
Cu3 0.421 0.589 0.169
Cu4 0.421 0.911 0.169
Cu5 0.579 0.089 0.831
Cu6 0.579 0.411 0.831
Cu7 0.921 0.589 0.331
Cu8 0.921 0.911 0.331
F1 0.068 0.560 0.285
F2 0.068 0.940 0.285
F3 0.070 0.250 0.020
F4 0.219 0.124 0.592
F5 0.219 0.376 0.592
F6 0.281 0.624 0.092
F7 0.281 0.876 0.092
F8 0.430 0.750 0.520
F9 0.432 0.060 0.785
F10 0.432 0.440 0.785
F11 0.568 0.560 0.215
F12 0.568 0.940 0.215
F13 0.570 0.250 0.480
F14 0.719 0.124 0.908
F15 0.719 0.376 0.908
F16 0.781 0.624 0.408
F17 0.781 0.876 0.408
F18 0.930 0.750 0.980
F19 0.932 0.060 0.715
F20 0.932 0.440 0.715

=====

Below is crystalline LiCu3F8 at its relaxed geometry, with properties calculated at the PBE level.

Properties
total magnetic moment = 4.00 μB/f.u.
raw formation energy = -20.2 eV per formula unit

Cell: 5.661 5.661 5.545 Å, 111.25 111.25 65.91°
Atoms (fractional coordinates):
Li1 0.000 0.000 0.000
Cu1 0.000 0.500 0.500
Cu2 0.500 0.000 0.500
Cu3 0.500 0.500 0.000
F1 0.228 0.228 0.712
F2 0.241 0.704 0.749
F3 0.247 0.247 0.267
F4 0.296 0.759 0.251
F5 0.704 0.241 0.749
F6 0.753 0.753 0.733
F7 0.759 0.296 0.251
F8 0.772 0.772 0.288

=====

Below is crystalline Li2CuF at its relaxed geometry, with properties calculated at the PBE level.

Properties
total magnetic moment = 0.00 μB/f.u.
raw formation energy = -3.0 eV per formula unit
ΔE to the lowest computed polymorph = 433 meV/atom

Cell: 4.243 4.243 4.243 Å, 60.00 60.00 60.00°
Atoms (fractional coordinates):
Li1 0.250 0.250 0.250
Li2 0.750 0.750 0.750
Cu1 0.000 0.000 0.000
F1 0.500 0.500 0.500

=====

Below is crystalline Li2Cu2F7 at its relaxed geometry, with properties calculated at the PBE level.

Properties
total magnetic moment = 3.00 μB/f.u.
raw formation energy = -21.7 eV per formula unit
ΔE to the lowest computed polymorph = 18 meV/atom

Cell: 5.337 6.553 8.657 Å, 73.00 72.86 84.14°
Atoms (fractional coordinates):
Li1 0.065 0.238 0.354
Li2 0.392 0.575 0.725
Li3 0.608 0.425 0.275
Li4 0.935 0.762 0.646
Cu1 0.206 0.994 0.825
Cu2 0.276 0.787 0.297
Cu3 0.724 0.213 0.703
Cu4 0.794 0.006 0.175
F1 0.075 0.116 0.606
F2 0.102 0.726 0.833
F3 0.171 0.904 0.085
F4 0.245 0.499 0.293
F5 0.303 0.696 0.522
F6 0.346 0.263 0.806
F7 0.416 0.078 0.262
F8 0.584 0.922 0.738
F9 0.654 0.737 0.194
F10 0.697 0.304 0.478
F11 0.755 0.501 0.707
F12 0.829 0.096 0.915
F13 0.898 0.274 0.167
F14 0.925 0.884 0.394

=====

Below is crystalline Li2Cu2F7 at its relaxed geometry, with properties calculated at the PBE level.

Properties
total magnetic moment = 1.06 μB/f.u.
raw formation energy = -21.2 eV per formula unit
ΔE to the lowest computed polymorph = 57 meV/atom

Cell: 5.555 5.555 5.042 Å, 93.60 93.60 115.11°
Atoms (fractional coordinates):
Li1 0.199 0.801 0.000
Li2 0.801 0.199 0.000
Cu1 0.243 0.243 0.674
Cu2 0.757 0.757 0.326
F1 0.054 0.054 0.246
F2 0.076 0.455 0.770
F3 0.455 0.076 0.770
F4 0.500 0.500 0.500
F5 0.545 0.924 0.230
F6 0.924 0.545 0.230
F7 0.946 0.946 0.754

=====

Below is crystalline Li5Cu2F12 at its relaxed geometry, with properties calculated at the PBE level.

Properties
total magnetic moment = 5.04 μB/f.u.
raw formation energy = -39.3 eV per formula unit

Cell: 5.731 5.731 7.538 Å, 101.70 101.70 60.27°
Atoms (fractional coordinates):
Li1 0.000 0.000 0.000
Li2 0.297 0.297 0.780
Li3 0.307 0.307 0.146
Li4 0.693 0.693 0.854
Li5 0.703 0.703 0.220
Cu1 0.247 0.753 0.500
Cu2 0.753 0.247 0.500
F1 0.055 0.055 0.357
F2 0.076 0.571 0.337
F3 0.123 0.609 0.975
F4 0.391 0.877 0.025
F5 0.429 0.924 0.663
F6 0.449 0.449 0.647
F7 0.551 0.551 0.353
F8 0.571 0.076 0.337
F9 0.609 0.123 0.975
F10 0.877 0.391 0.025
F11 0.924 0.429 0.663
F12 0.945 0.945 0.643

=====

Below is crystalline LiCu2F7 at its relaxed geometry, with properties calculated at the PBE level.

Properties
total magnetic moment = 0.62 μB/f.u.
raw formation energy = -16.5 eV per formula unit

Cell: 6.636 6.636 7.181 Å, 93.57 93.57 44.35°
Atoms (fractional coordinates):
Li1 0.000 0.000 0.000
Li2 0.000 0.000 0.500
Cu1 0.297 0.308 0.904
Cu2 0.308 0.297 0.404
Cu3 0.580 0.604 0.833
Cu4 0.604 0.580 0.333
F1 0.054 0.675 0.997
F2 0.170 0.433 0.652
F3 0.198 0.850 0.748
F4 0.296 0.604 0.374
F5 0.347 0.968 0.425
F6 0.433 0.170 0.152
F7 0.435 0.742 0.086
F8 0.539 0.924 0.816
F9 0.604 0.296 0.874
F10 0.675 0.054 0.497
F11 0.742 0.435 0.586
F12 0.850 0.198 0.248
F13 0.924 0.539 0.316
F14 0.968 0.347 0.925

=====

no.,calculated total energy (Ry/atom)
1,-0.2676
2,-0.3098
3,-0.3023
4,-0.2358
5,-0.3126
6,-0.3097
7,-0.3077
8,-0.2917